Material: Mg3CdGa
Method: DFT, PBEsol
State: relaxed

Values from the calculation:
calculated total energy	-1.578	eV per atom
DOS at the Fermi energy	1.8	states/eV/f.u.
DFT formation energy	0.36	eV/atom
density	3.1	g/cm3

Cell: 5.1689 5.1689 5.1689 Å, 90.00 90.00 90.00°
Fractional coordinates of all 5 atoms:
Mg: 0.0000 0.0000 0.5000
Mg: 0.0000 0.5000 0.0000
Mg: 0.5000 0.0000 0.0000
Cd: 0.0000 0.0000 0.0000
Ga: 0.5000 0.5000 0.5000

Material: MgZrCdGa2
Method: DFT, PBEsol
State: relaxed

Values from the calculation:
calculated total energy	-2.980	eV per atom
DOS at the Fermi energy	3.6	states/eV/f.u.
DFT formation energy	0.76	eV/atom
density	5.1	g/cm3

Cell: 4.7751 4.7751 5.2123 Å, 90.00 90.00 90.00°
Fractional coordinates of all 5 atoms:
Mg: 0.0000 0.0000 0.0000
Zr: 0.0000 0.0000 0.5000
Cd: 0.5000 0.5000 0.5000
Ga: 0.0000 0.5000 0.0000
Ga: 0.5000 0.0000 0.0000

Material: MnNbCdGa2
Method: DFT, PBEsol
State: relaxed

Values from the calculation:
calculated total energy	-4.906	eV per atom
DOS at the Fermi energy	4.0	states/eV/f.u.
DFT formation energy	0.79	eV/atom
density	7.0	g/cm3

Cell: 4.4496 4.4496 4.7787 Å, 90.00 90.00 90.00°
Fractional coordinates of all 5 atoms:
Mn: 0.0000 0.0000 0.0000
Nb: 0.5000 0.5000 0.5000
Cd: 0.0000 0.0000 0.5000
Ga: 0.0000 0.5000 0.0000
Ga: 0.5000 0.0000 0.0000

Material: Cd2GaSiMo
Method: DFT, PBEsol
State: relaxed

Values from the calculation:
calculated total energy	-3.802	eV per atom
DOS at the Fermi energy	3.9	states/eV/f.u.
formation energy from raw total energies	0.85	eV/atom
density	5.5	g/cm3

Cell: 5.2317 5.2317 4.6336 Å, 90.00 90.00 90.00°
Fractional coordinates of all 5 atoms:
Cd: 0.0000 0.5000 0.0000
Cd: 0.5000 0.0000 0.0000
Ga: 0.0000 0.0000 0.5000
Si: 0.5000 0.5000 0.5000
Mo: 0.5000 0.5000 0.0000

Material: Cd3GaN
Method: DFT, PBEsol
State: relaxed

Values from the calculation:
calculated total energy	-2.611	eV per atom
DOS at the Fermi energy	3.4	states/eV/f.u.
formation energy from raw total energies	0.48	eV/atom
density	7.4	g/cm3

Cell: 4.5581 4.5581 4.5581 Å, 90.00 90.00 90.00°
Fractional coordinates of all 5 atoms:
Cd: 0.0000 0.0000 0.5000
Cd: 0.0000 0.5000 0.0000
Cd: 0.5000 0.0000 0.0000
Ga: 0.5000 0.5000 0.5000
N: 0.0000 0.0000 0.0000

Material: Cd2GaN
Method: DFT, PBEsol
State: relaxed

Values from the calculation:
calculated total energy	-2.708	eV per atom
DOS at the Fermi energy	0.8	states/eV/f.u.
formation energy from raw total energies	0.86	eV/atom
density	7.8	g/cm3

Cell: 4.5338 4.5338 4.5338 Å, 60.00 60.00 60.00°
Fractional coordinates of all 4 atoms:
Cd: 0.2500 0.2500 0.2500
Cd: 0.7500 0.7500 0.7500
Ga: 0.0000 0.0000 0.0000
N: 0.5000 0.5000 0.5000